## P
Ba4InSi: relaxed, PBE.

```
Ba4InSi
1.0
5.291 -7.788 0.000
5.291 7.788 0.000
-3.419 0.000 6.643
Ba In Si
8 2 2
Direct
0.054 0.718 0.930
0.222 0.351 0.691
0.282 0.946 0.570
0.351 0.222 0.191
0.649 0.778 0.809
0.718 0.054 0.430
0.778 0.649 0.309
0.946 0.282 0.070
0.368 0.632 0.250
0.632 0.368 0.750
0.001 0.999 0.750
0.999 0.001 0.250
```

- M_tot: 0.00 Bohr magnetons per cell
- D(E_F): 1.161 states/eV per atom
- V: 45.61 Å³ per atom

## Q
Ba4InSi: relaxed, PBE.

```
Ba4InSi
1.0
0.000 5.026 5.026
5.026 0.000 5.026
5.026 5.026 0.000
Ba In Si
4 1 1
Direct
0.376 0.376 0.376
0.376 0.376 0.872
0.376 0.872 0.376
0.872 0.376 0.376
0.000 0.000 0.000
0.750 0.750 0.750
```

- M_tot: 0.00 Bohr magnetons per cell
- D(E_F): 1.494 states/eV per atom
- V: 42.32 Å³ per atom

Best to worst by energy: P, Q.

## P
BaIn3Si: relaxed, PBE.

```
BaIn3Si
1.0
5.435 0.000 0.000
0.000 5.435 0.000
0.000 0.000 5.435
Ba In Si
1 3 1
Direct
0.000 0.000 0.000
0.000 0.500 0.500
0.500 0.000 0.500
0.500 0.500 0.000
0.500 0.500 0.500
```

- M_tot: 0.00 Bohr magnetons per cell
- D(E_F): 0.601 states/eV per atom
- V: 32.12 Å³ per atom

## Q
BaIn3Si: relaxed, PBE.

```
BaIn3Si
1.0
6.230 0.000 0.000
0.000 6.230 0.000
0.000 0.000 6.230
Ba In Si
1 3 1
Direct
0.000 0.000 0.000
0.000 0.000 0.500
0.000 0.500 0.000
0.500 0.000 0.000
0.500 0.500 0.500
```

- M_tot: 0.00 Bohr magnetons per cell
- D(E_F): 0.637 states/eV per atom
- V: 48.35 Å³ per atom

Best to worst by energy: P, Q.

## P
BaSm2In: relaxed, PBE.

```
BaSm2In
1.0
1.881 1.086 12.211
-1.881 1.086 12.211
0.000 -2.172 12.211
Ba Sm In
1 2 1
Direct
0.000 0.000 0.000
0.101 0.101 0.101
0.899 0.899 0.899
0.500 0.500 0.500
```

- M_tot: 0.00 Bohr magnetons per cell
- D(E_F): 1.224 states/eV per atom
- V: 37.41 Å³ per atom

## Q
BaSm2In: relaxed, PBE.

```
BaSm2In
1.0
2.663 1.538 6.429
-2.663 1.538 6.429
0.000 -3.075 6.429
Ba Sm In
1 2 1
Direct
0.000 0.000 0.000
0.552 0.552 0.552
0.789 0.789 0.789
0.192 0.192 0.192
```

- M_tot: 0.00 Bohr magnetons per cell
- D(E_F): 1.485 states/eV per atom
- V: 39.49 Å³ per atom

## R
BaSm2In: relaxed, PBE.

```
BaSm2In
1.0
5.166 0.000 0.000
0.000 5.166 0.000
0.000 0.000 5.070
Ba Sm In
1 2 1
Direct
0.000 0.000 0.000
0.000 0.500 0.500
0.500 0.000 0.500
0.500 0.500 0.000
```

- M_tot: 0.00 Bohr magnetons per cell
- D(E_F): 1.110 states/eV per atom
- V: 33.83 Å³ per atom

Best to worst by energy: R, Q, P.

## P
Ba2In2Sn: relaxed, PBE.

```
Ba2In2Sn
1.0
-2.110 2.110 10.864
2.110 -2.110 10.864
2.110 2.110 -10.864
Ba In Sn
2 2 1
Direct
0.099 0.099 0.000
0.901 0.901 0.000
0.250 0.750 0.500
0.750 0.250 0.500
0.500 0.500 0.000
```

- M_tot: 0.00 Bohr magnetons per cell
- D(E_F): 0.629 states/eV per atom
- V: 38.71 Å³ per atom

## Q
Ba2In2Sn: relaxed, PBE.

```
Ba2In2Sn
1.0
6.701 -2.426 0.000
6.701 2.426 0.000
-5.404 0.000 11.787
Ba In Sn
4 4 2
Direct
0.102 0.102 0.395
0.289 0.289 0.847
0.711 0.711 0.153
0.898 0.898 0.605
0.065 0.065 0.937
0.381 0.381 0.390
0.619 0.619 0.610
0.935 0.935 0.063
0.441 0.441 0.191
0.559 0.559 0.809
```

- M_tot: 0.00 Bohr magnetons per cell
- D(E_F): 0.568 states/eV per atom
- V: 38.32 Å³ per atom

Best to worst by energy: Q, P.

## P
BaIn4Sn: relaxed, PBE.

```
BaIn4Sn
1.0
0.000 4.510 4.510
4.510 0.000 4.510
4.510 4.510 0.000
Ba In Sn
1 4 1
Direct
0.000 0.000 0.000
0.376 0.376 0.376
0.376 0.376 0.873
0.376 0.873 0.376
0.873 0.376 0.376
0.750 0.750 0.750
```

- M_tot: 0.00 Bohr magnetons per cell
- D(E_F): 0.511 states/eV per atom
- V: 30.57 Å³ per atom

## Q
BaIn4Sn: relaxed, PBE.

```
BaIn4Sn
1.0
2.766 -9.158 0.000
2.766 9.158 0.000
0.000 0.000 7.707
Ba In Sn
2 8 2
Direct
0.112 0.888 0.750
0.888 0.112 0.250
0.081 0.919 0.250
0.257 0.743 0.067
0.257 0.743 0.433
0.500 0.500 0.000
0.500 0.500 0.500
0.743 0.257 0.567
0.743 0.257 0.933
0.919 0.081 0.750
0.354 0.646 0.750
0.646 0.354 0.250
```

- M_tot: 0.00 Bohr magnetons per cell
- D(E_F): 0.414 states/eV per atom
- V: 32.54 Å³ per atom

Best to worst by energy: P, Q.

## P
BaIn2Sn2: relaxed, PBE.

```
BaIn2Sn2
1.0
2.628 1.517 6.767
-2.628 1.517 6.767
0.000 -3.034 6.767
Ba In Sn
1 2 2
Direct
0.000 0.000 0.000
0.206 0.206 0.206
0.794 0.794 0.794
0.429 0.429 0.429
0.571 0.571 0.571
```

- M_tot: 0.00 Bohr magnetons per cell
- D(E_F): 0.449 states/eV per atom
- V: 32.37 Å³ per atom

## Q
BaIn2Sn2: relaxed, PBE.

```
BaIn2Sn2
1.0
8.960 0.000 0.000
0.000 8.960 0.000
0.000 0.000 3.869
Ba In Sn
2 4 4
Direct
0.000 0.000 0.000
0.500 0.500 0.000
0.158 0.342 0.500
0.342 0.842 0.500
0.658 0.158 0.500
0.842 0.658 0.500
0.128 0.628 0.000
0.372 0.128 0.000
0.628 0.872 0.000
0.872 0.372 0.000
```

- M_tot: 0.00 Bohr magnetons per cell
- D(E_F): 0.519 states/eV per atom
- V: 31.06 Å³ per atom

Best to worst by energy: P, Q.

## P
BaIn2Sn2: relaxed, PBE.

```
BaIn2Sn2
1.0
8.966 0.000 0.000
0.000 8.966 0.000
0.000 0.000 3.813
Ba In Sn
2 4 4
Direct
0.000 0.000 0.000
0.500 0.500 0.000
0.125 0.375 0.000
0.375 0.875 0.000
0.625 0.125 0.000
0.875 0.625 0.000
0.164 0.664 0.500
0.336 0.164 0.500
0.664 0.836 0.500
0.836 0.336 0.500
```

- M_tot: 0.00 Bohr magnetons per cell
- D(E_F): 0.401 states/eV per atom
- V: 30.65 Å³ per atom

## Q
BaIn2Sn2: relaxed, PBE.

```
BaIn2Sn2
1.0
-2.484 2.484 6.629
2.484 -2.484 6.629
2.484 2.484 -6.629
Ba In Sn
1 2 2
Direct
0.000 0.000 0.000
0.250 0.750 0.500
0.750 0.250 0.500
0.385 0.385 0.000
0.615 0.615 0.000
```

- M_tot: 0.00 Bohr magnetons per cell
- D(E_F): 0.391 states/eV per atom
- V: 32.72 Å³ per atom

Best to worst by energy: Q, P.

## P
BaIn2Sn2: relaxed, PBE.

```
BaIn2Sn2
1.0
-2.575 2.575 12.346
2.575 -2.575 12.346
2.575 2.575 -12.346
Ba In Sn
2 4 4
Direct
0.122 0.122 0.000
0.878 0.878 0.000
0.000 0.500 0.500
0.313 0.313 0.000
0.500 0.000 0.500
0.687 0.687 0.000
0.250 0.750 0.500
0.429 0.429 0.000
0.571 0.571 0.000
0.750 0.250 0.500
```

- M_tot: 0.00 Bohr magnetons per cell
- D(E_F): 0.560 states/eV per atom
- V: 32.74 Å³ per atom

## Q
BaIn2Sn2: relaxed, PBE.

```
BaIn2Sn2
1.0
-2.677 2.677 5.613
2.677 -2.677 5.613
2.677 2.677 -5.613
Ba In Sn
1 2 2
Direct
0.000 0.000 0.000
0.374 0.374 0.000
0.626 0.626 0.000
0.250 0.750 0.500
0.750 0.250 0.500
```

- M_tot: 0.00 Bohr magnetons per cell
- D(E_F): 0.423 states/eV per atom
- V: 32.17 Å³ per atom

Best to worst by energy: Q, P.

## P
Ba8In2Sn: relaxed, PBE.

```
Ba8In2Sn
1.0
-2.949 4.833 8.734
2.949 -4.833 8.734
2.949 4.833 -8.734
Ba In Sn
8 2 1
Direct
0.122 0.344 0.779
0.142 0.142 0.000
0.316 0.000 0.316
0.435 0.656 0.779
0.565 0.344 0.221
0.684 0.000 0.684
0.858 0.858 0.000
0.878 0.656 0.221
0.310 0.810 0.500
0.690 0.190 0.500
0.000 0.500 0.500
```

- M_tot: 0.43 Bohr magnetons per cell
- D(E_F): 0.838 states/eV per atom
- V: 45.27 Å³ per atom

## Q
Ba8In2Sn: relaxed, PBE.

```
Ba8In2Sn
1.0
10.609 -3.028 0.000
10.609 3.028 0.000
-3.011 0.000 8.074
Ba In Sn
8 2 1
Direct
0.027 0.027 0.286
0.200 0.200 0.800
0.334 0.334 0.549
0.402 0.402 0.060
0.598 0.598 0.940
0.666 0.666 0.451
0.800 0.800 0.200
0.973 0.973 0.714
0.182 0.182 0.192
0.818 0.818 0.808
0.500 0.500 0.500
```

- M_tot: 1.00 Bohr magnetons per cell
- D(E_F): 0.790 states/eV per atom
- V: 47.15 Å³ per atom

Best to worst by energy: Q, P.

## P
Ba2In15Sn2: relaxed, PBE.

```
Ba2In15Sn2
1.0
4.899 2.828 6.727
-4.899 2.828 6.727
0.000 -5.656 6.727
Ba In Sn
2 15 2
Direct
0.218 0.218 0.218
0.782 0.782 0.782
0.000 0.500 0.500
0.062 0.062 0.706
0.062 0.706 0.062
0.204 0.500 0.796
0.204 0.796 0.500
0.294 0.938 0.938
0.500 0.000 0.500
0.500 0.204 0.796
0.500 0.500 0.000
0.500 0.796 0.204
0.706 0.062 0.062
0.796 0.204 0.500
0.796 0.500 0.204
0.938 0.294 0.938
0.938 0.938 0.294
0.402 0.402 0.402
0.598 0.598 0.598
```

- M_tot: 0.00 Bohr magnetons per cell
- D(E_F): 0.465 states/eV per atom
- V: 29.43 Å³ per atom

## Q
Ba2In15Sn2: relaxed, PBE.

```
Ba2In15Sn2
1.0
5.466 3.156 5.429
-5.466 3.156 5.429
0.000 -6.311 5.429
Ba In Sn
2 15 2
Direct
0.159 0.159 0.159
0.841 0.841 0.841
0.000 0.500 0.500
0.142 0.142 0.656
0.142 0.656 0.142
0.206 0.500 0.794
0.206 0.794 0.500
0.344 0.858 0.858
0.500 0.000 0.500
0.500 0.206 0.794
0.500 0.500 0.000
0.500 0.794 0.206
0.656 0.142 0.142
0.794 0.206 0.500
0.794 0.500 0.206
0.858 0.344 0.858
0.858 0.858 0.344
0.400 0.400 0.400
0.600 0.600 0.600
```

- M_tot: 0.00 Bohr magnetons per cell
- D(E_F): 0.542 states/eV per atom
- V: 29.57 Å³ per atom

Best to worst by energy: Q, P.

## P
BaIn3Sn: relaxed, PBE.

```
BaIn3Sn
1.0
6.474 -2.482 0.000
6.474 2.482 0.000
-2.304 0.000 4.977
Ba In Sn
1 3 1
Direct
0.000 0.000 0.000
0.264 0.264 0.762
0.629 0.629 0.631
0.739 0.739 0.240
0.383 0.383 0.380
```

- M_tot: 0.00 Bohr magnetons per cell
- D(E_F): 0.396 states/eV per atom
- V: 31.99 Å³ per atom

## Q
BaIn3Sn: relaxed, PBE.

```
BaIn3Sn
1.0
5.780 0.000 0.000
0.000 5.780 0.000
0.000 0.000 5.780
Ba In Sn
1 3 1
Direct
0.000 0.000 0.000
0.000 0.500 0.500
0.500 0.000 0.500
0.500 0.500 0.000
0.500 0.500 0.500
```

- M_tot: 0.00 Bohr magnetons per cell
- D(E_F): 0.678 states/eV per atom
- V: 38.62 Å³ per atom

## R
BaIn3Sn: relaxed, PBE.

```
BaIn3Sn
1.0
6.235 0.000 0.000
0.000 6.235 0.000
0.000 0.000 6.235
Ba In Sn
1 3 1
Direct
0.000 0.000 0.000
0.000 0.000 0.500
0.000 0.500 0.000
0.500 0.000 0.000
0.500 0.500 0.500
```

- M_tot: 0.00 Bohr magnetons per cell
- D(E_F): 0.662 states/eV per atom
- V: 48.48 Å³ per atom

Best to worst by energy: P, Q, R.